No. 1
A plane-wave DFT calculation with PBE-GGA was carried out for a relaxed structure of Ni24Pt5.

The structure belongs to space group I-43m (No. 217); the cell edges are 8.819, 8.819 and 8.819 Å and the angles 90.00°, 90.00° and 90.00°. The asymmetric unit holds Ni at (0.040, 0.363, 0.363), Ni at (0.093, 0.093, 0.284), Pt at (0.000, 0.000, 0.000) and Pt at (0.185, 0.185, 0.815).

The calculation puts the calculated volume at 11.824 A^3/atom. The calculation puts the electronic total energy at -5.809 eV/atom. Its formation energy is 17 meV per atom. The calculation puts the density of states at the Fermi level at 110.97 states/eV/cell. Its crystal system is cubic.



No. 2
A plane-wave DFT calculation with PBE-GGA was carried out for a relaxed structure of Ni5Pt4.

The structure belongs to space group I4/mmm (No. 139); the cell edges are 7.929, 7.929 and 3.778 Å and the angles 90.00°, 90.00° and 90.00°. The asymmetric unit holds Ni at (0.000, 0.000, 0.000), Ni at (0.162, 0.162, 0.500) and Pt at (0.000, 0.320, 0.000).

The calculation puts the calculated volume at 13.195 A^3/atom. The calculation puts the electronic total energy at -5.973 eV/atom. Its formation energy is -76 meV per atom. The calculation puts the density of states at the Fermi level at 29.14 states/eV/cell. Its crystal system is tetragonal.



No. 3
A plane-wave DFT calculation with PBE-GGA was carried out for a relaxed structure of NiPt2.

The structure belongs to space group P-62m (No. 189); the cell edges are 7.3447, 7.3447 and 2.7601 Å and the angles 90.00°, 90.00° and 120.00°. The asymmetric unit holds Ni at (0.0000, 0.0000, 0.0000), Ni at (0.3333, 0.6667, 0.5000), Pt at (0.0000, 0.2968, 0.5000) and Pt at (0.0000, 0.6314, 0.0000).

The calculation puts the calculated volume at 14.327 A^3/atom. The calculation puts the electronic total energy at -5.977 eV/atom. Its formation energy is -23 meV per atom. The calculation puts the density of states at the Fermi level at 15.68 states/eV/cell. Its crystal system is hexagonal.



No. 4
A plane-wave DFT calculation with PBE-GGA was carried out for a relaxed structure of NiPt.

The structure belongs to space group Pm (No. 6); the cell edges are 7.978, 2.711 and 7.988 Å and the angles 90.00°, 109.74° and 90.00°. The asymmetric unit holds Ni at (0.000, 0.000, 0.000), Ni at (0.001, 0.000, 0.339), Ni at (0.248, 0.500, 0.918), Ni at (0.503, 0.000, 0.509), Ni at (0.511, 0.000, 0.832), Ni at (0.746, 0.500, 0.751), Pt at (0.001, 0.000, 0.683), Pt at (0.238, 0.500, 0.248), Pt at (0.264, 0.500, 0.596), Pt at (0.492, 0.000, 0.154), Pt at (0.747, 0.500, 0.423) and Pt at (0.761, 0.500, 0.077).

The calculation puts the calculated volume at 13.551 A^3/atom. The calculation puts the electronic total energy at -5.975 eV/atom. Its formation energy is -63 meV per atom. The calculation puts the density of states at the Fermi level at 18.57 states/eV/cell. Its crystal system is monoclinic.



No. 5
A plane-wave DFT calculation with PBE-GGA was carried out for a relaxed structure of NiPt.

The structure belongs to space group R-3m (No. 166, hexagonal axes); the cell edges are 2.7237, 2.7237 and 12.7336 Å and the angles 90.00°, 90.00° and 120.00°. The asymmetric unit holds Ni at (0.0000, 0.0000, 0.0000) and Pt at (0.0000, 0.0000, 0.5000).

The calculation puts the calculated volume at 13.634 A^3/atom. The calculation puts the electronic total energy at -5.961 eV/atom. Its formation energy is -50 meV per atom. The calculation puts the density of states at the Fermi level at 10.30 states/eV/cell. Its crystal system is trigonal.



No. 6
A plane-wave DFT calculation with PBE-GGA was carried out for a relaxed structure of NiPt2.

The structure belongs to space group Fd-3m (No. 227, origin choice 2); the cell edges are 7.326, 7.326 and 7.326 Å and the angles 90.00°, 90.00° and 90.00°. The asymmetric unit holds Ni at (0.125, 0.125, 0.125) and Pt at (0.000, 0.000, 0.500).

The calculation puts the calculated volume at 16.384 A^3/atom. The calculation puts the electronic total energy at -5.575 eV/atom. Its formation energy is 379 meV per atom. The calculation puts the density of states at the Fermi level at 51.40 states/eV/cell. Its crystal system is cubic.